Record 1
{
  "formula": "CdReO3",
  "functional": "PBE",
  "state": "relaxed",
  "lattice": [[3.082, 1.779, 4.114], [-3.082, 1.779, 4.114], [0.000, -3.558, 4.114]],
  "species": ["Cd", "Cd", "Re", "Re", "O", "O", "O", "O", "O", "O"],
  "frac_coords": [[0.000, 0.000, 0.000], [0.500, 0.500, 0.500], [0.250, 0.250, 0.250], [0.750, 0.750, 0.750], [0.043, 0.750, 0.457], [0.250, 0.543, 0.957], [0.457, 0.043, 0.750], [0.543, 0.957, 0.250], [0.750, 0.457, 0.043], [0.957, 0.250, 0.543]],
  "dft_energy_ev_per_atom": -6.48,
  "spacegroup": "R-3c (167)"
}



Record 2
{
  "formula": "Pr3Mg3Ga2Ag",
  "functional": "PBE",
  "state": "relaxed",
  "lattice": [[7.626, 0.000, 0.000], [-3.813, 6.605, 0.000], [0.000, 0.000, 4.482]],
  "species": ["Pr", "Pr", "Pr", "Mg", "Mg", "Mg", "Ga", "Ga", "Ag"],
  "frac_coords": [[0.000, 0.420, 0.000], [0.420, 0.000, 0.000], [0.580, 0.580, 0.000], [0.000, 0.756, 0.500], [0.244, 0.244, 0.500], [0.756, 0.000, 0.500], [0.333, 0.667, 0.500], [0.667, 0.333, 0.500], [0.000, 0.000, 0.000]],
  "dft_energy_ev_per_atom": -3.53,
  "spacegroup": "P-62m (189)"
}